#one
First-principles (GGA-PBEsol) data for crystalline BaLiNi2 at its relaxed geometry, as listed in Alexandria.

Output
- Calculated density: 5.46 g/cm3
- Fermi-level density of states: 2.71 states/eV/cell
- Space-group type: No. 8

a = 4.099 Å, b = 4.099 Å, c = 5.951 Å
α = 109.96°, β = 109.96°, γ = 59.94°
Fractional coordinates of all 4 atoms:
Ba 0.000 0.000 0.000
Li 0.185 0.185 0.560
Ni 0.469 0.469 0.409
Ni 0.797 0.797 0.395



#two
First-principles (GGA-PBEsol) data for crystalline BaLiNi2 at its relaxed geometry, as listed in Alexandria.

Output
- Calculated density: 6.06 g/cm3
- Fermi-level density of states: 1.63 states/eV/cell
- Space-group type: No. 71

a = 5.028 Å, b = 5.028 Å, c = 5.028 Å
α = 130.69°, β = 130.37°, γ = 72.56°
Fractional coordinates of all 4 atoms:
Ba 0.000 0.000 0.000
Li 0.500 0.500 0.000
Ni 0.250 0.750 0.500
Ni 0.750 0.250 0.500



Most stable = #one



#one
First-principles (GGA-PBEsol) data for crystalline BaLiOs at its relaxed geometry, as listed in Alexandria.

Output
- Calculated density: 8.90 g/cm3
- Fermi-level density of states: 3.24 states/eV/cell
- Space-group type: No. 107

a = 5.806 Å, b = 5.806 Å, c = 5.806 Å
α = 145.54°, β = 145.54°, γ = 49.54°
Fractional coordinates of all 3 atoms:
Ba 0.000 0.000 0.000
Li 0.280 0.280 0.000
Os 0.697 0.697 0.000



#two
First-principles (GGA-PBEsol) data for crystalline BaLiOs at its relaxed geometry, as listed in Alexandria.

Output
- Calculated density: 8.61 g/cm3
- Fermi-level density of states: 1.93 states/eV/cell
- Space-group type: No. 156

a = 5.059 Å, b = 5.059 Å, c = 2.911 Å
α = 90.00°, β = 90.00°, γ = 120.00°
Fractional coordinates of all 3 atoms:
Ba 0.000 0.000 0.000
Li 0.333 0.667 0.498
Os 0.667 0.333 0.501



Most stable = #one



#one
First-principles (GGA-PBEsol) data for crystalline BaLiOs at its relaxed geometry, as listed in Alexandria.

Output
- Calculated density: 7.05 g/cm3
- Fermi-level density of states: 5.06 states/eV/cell
- Space-group type: No. 216

a = 4.813 Å, b = 4.813 Å, c = 4.813 Å
α = 60.00°, β = 60.00°, γ = 60.00°
Fractional coordinates of all 3 atoms:
Ba 0.000 0.000 0.000
Li 0.250 0.250 0.250
Os 0.750 0.750 0.750



#two
First-principles (GGA-PBEsol) data for crystalline BaLiOs at its relaxed geometry, as listed in Alexandria.

Output
- Calculated density: 7.93 g/cm3
- Fermi-level density of states: 2.13 states/eV/cell
- Space-group type: No. 156

a = 3.293 Å, b = 3.293 Å, c = 7.462 Å
α = 90.00°, β = 90.00°, γ = 120.00°
Fractional coordinates of all 3 atoms:
Ba 0.000 0.000 0.000
Li 0.333 0.667 0.540
Os 0.667 0.333 0.302



#three
First-principles (GGA-PBEsol) data for crystalline BaLiOs at its relaxed geometry, as listed in Alexandria.

Output
- Calculated density: 8.62 g/cm3
- Fermi-level density of states: 1.96 states/eV/cell
- Space-group type: No. 44

a = 5.872 Å, b = 5.872 Å, c = 5.872 Å
α = 151.61°, β = 137.74°, γ = 51.70°
Fractional coordinates of all 3 atoms:
Ba 0.000 0.000 0.000
Li 0.276 0.276 0.000
Os 0.695 0.695 0.000



Most stable = #three



#one
First-principles (GGA-PBEsol) data for crystalline BaLi2Pb2 at its relaxed geometry, as listed in Alexandria.

Output
- Calculated density: 6.72 g/cm3
- Fermi-level density of states: 2.39 states/eV/cell
- Space-group type: No. 139

a = 6.830 Å, b = 6.830 Å, c = 6.830 Å
α = 138.27°, β = 138.27°, γ = 60.50°
Fractional coordinates of all 5 atoms:
Ba 0.000 0.000 0.000
Li 0.250 0.750 0.500
Li 0.750 0.250 0.500
Pb 0.375 0.375 0.000
Pb 0.625 0.625 0.000



#two
First-principles (GGA-PBEsol) data for crystalline BaLi2Pb2 at its relaxed geometry, as listed in Alexandria.

Output
- Calculated density: 7.23 g/cm3
- Fermi-level density of states: 3.88 states/eV/cell
- Space-group type: No. 127

a = 8.897 Å, b = 8.897 Å, c = 3.280 Å
α = 90.00°, β = 90.00°, γ = 90.00°
Fractional coordinates of all 10 atoms:
Ba 0.000 0.000 0.000
Ba 0.500 0.500 0.000
Li 0.119 0.381 0.000
Li 0.381 0.881 0.000
Li 0.619 0.119 0.000
Li 0.881 0.619 0.000
Pb 0.169 0.669 0.500
Pb 0.331 0.169 0.500
Pb 0.669 0.831 0.500
Pb 0.831 0.331 0.500



Most stable = #one



#one
First-principles (GGA-PBEsol) data for crystalline BaLiPt2 at its relaxed geometry, as listed in Alexandria.

Output
- Calculated density: 11.12 g/cm3
- Fermi-level density of states: 1.27 states/eV/cell
- Space-group type: No. 139

a = 5.295 Å, b = 5.295 Å, c = 5.295 Å
α = 132.23°, β = 132.23°, γ = 69.87°
Fractional coordinates of all 4 atoms:
Ba 0.000 0.000 0.000
Li 0.500 0.500 0.000
Pt 0.250 0.750 0.500
Pt 0.750 0.250 0.500



#two
First-principles (GGA-PBEsol) data for crystalline BaLiPt2 at its relaxed geometry, as listed in Alexandria.

Output
- Calculated density: 10.95 g/cm3
- Fermi-level density of states: 2.58 states/eV/cell
- Space-group type: No. 216

a = 4.858 Å, b = 4.858 Å, c = 4.858 Å
α = 60.00°, β = 60.00°, γ = 60.00°
Fractional coordinates of all 4 atoms:
Ba 0.000 0.000 0.000
Li 0.750 0.750 0.750
Pt 0.250 0.250 0.250
Pt 0.500 0.500 0.500



Most stable = #one



#one
First-principles (GGA-PBEsol) data for crystalline BaLi2Re at its relaxed geometry, as listed in Alexandria.

Output
- Calculated density: 5.98 g/cm3
- Fermi-level density of states: 3.73 states/eV/cell
- Space-group type: No. 71

a = 6.595 Å, b = 6.595 Å, c = 6.595 Å
α = 154.59°, β = 130.00°, γ = 56.90°
Fractional coordinates of all 4 atoms:
Ba 0.000 0.000 0.000
Li 0.300 0.800 0.500
Li 0.700 0.200 0.500
Re 0.500 0.500 0.000



#two
First-principles (GGA-PBEsol) data for crystalline BaLi2Re at its relaxed geometry, as listed in Alexandria.

Output
- Calculated density: 6.64 g/cm3
- Fermi-level density of states: 3.08 states/eV/cell
- Space-group type: No. 47

a = 3.164 Å, b = 4.981 Å, c = 5.353 Å
α = 90.00°, β = 90.00°, γ = 90.00°
Fractional coordinates of all 4 atoms:
Ba 0.000 0.000 0.000
Li 0.000 0.500 0.500
Li 0.500 0.000 0.500
Re 0.500 0.500 0.000



Most stable = #one



#one
First-principles (GGA-PBEsol) data for crystalline Ba2LiRe at its relaxed geometry, as listed in Alexandria.

Output
- Calculated density: 6.84 g/cm3
- Fermi-level density of states: 5.50 states/eV/cell
- Space-group type: No. 122

a = 10.426 Å, b = 10.426 Å, c = 10.426 Å
α = 153.38°, β = 153.38°, γ = 38.01°
Fractional coordinates of all 8 atoms:
Ba 0.123 0.625 0.998
Ba 0.375 0.373 0.498
Ba 0.627 0.125 0.002
Ba 0.875 0.877 0.502
Li 0.250 0.750 0.500
Li 0.500 0.500 0.000
Re 0.000 0.000 0.000
Re 0.750 0.250 0.500



#two
First-principles (GGA-PBEsol) data for crystalline Ba2LiRe at its relaxed geometry, as listed in Alexandria.

Output
- Calculated density: 7.23 g/cm3
- Fermi-level density of states: 4.63 states/eV/cell
- Space-group type: No. 225

a = 5.336 Å, b = 5.336 Å, c = 5.336 Å
α = 60.00°, β = 60.00°, γ = 60.00°
Fractional coordinates of all 4 atoms:
Ba 0.250 0.250 0.250
Ba 0.750 0.750 0.750
Li 0.000 0.000 0.000
Re 0.500 0.500 0.500



Most stable = #two



#one
First-principles (GGA-PBEsol) data for crystalline BaLiRh2 at its relaxed geometry, as listed in Alexandria.

Output
- Calculated density: 7.89 g/cm3
- Fermi-level density of states: 4.13 states/eV/cell
- Space-group type: No. 225

a = 4.706 Å, b = 4.706 Å, c = 4.706 Å
α = 60.00°, β = 60.00°, γ = 60.00°
Fractional coordinates of all 4 atoms:
Ba 0.000 0.000 0.000
Li 0.500 0.500 0.500
Rh 0.250 0.250 0.250
Rh 0.750 0.750 0.750



#two
First-principles (GGA-PBEsol) data for crystalline BaLiRh2 at its relaxed geometry, as listed in Alexandria.

Output
- Calculated density: 6.58 g/cm3
- Fermi-level density of states: 3.87 states/eV/cell
- Space-group type: No. 160

a = 5.968 Å, b = 5.968 Å, c = 5.968 Å
α = 42.65°, β = 42.65°, γ = 42.65°
Fractional coordinates of all 4 atoms:
Ba 0.000 0.000 0.000
Li 0.810 0.810 0.810
Rh 0.195 0.195 0.195
Rh 0.524 0.524 0.524



Most stable = #two



#one
First-principles (GGA-PBEsol) data for crystalline BaLiRh2 at its relaxed geometry, as listed in Alexandria.

Output
- Calculated density: 7.68 g/cm3
- Fermi-level density of states: 2.02 states/eV/cell
- Space-group type: No. 10

a = 3.053 Å, b = 4.357 Å, c = 5.819 Å
α = 90.00°, β = 102.13°, γ = 90.00°
Fractional coordinates of all 4 atoms:
Ba 0.000 0.000 0.000
Li 0.500 0.000 0.500
Rh 0.319 0.500 0.683
Rh 0.681 0.500 0.317



#two
First-principles (GGA-PBEsol) data for crystalline BaLiRh2 at its relaxed geometry, as listed in Alexandria.

Output
- Calculated density: 7.36 g/cm3
- Fermi-level density of states: 4.51 states/eV/cell
- Space-group type: No. 160

a = 9.939 Å, b = 9.939 Å, c = 9.939 Å
α = 17.67°, β = 17.67°, γ = 17.67°
Fractional coordinates of all 4 atoms:
Ba 0.000 0.000 0.000
Li 0.221 0.221 0.221
Rh 0.488 0.488 0.488
Rh 0.757 0.757 0.757



#three
First-principles (GGA-PBEsol) data for crystalline BaLiRh2 at its relaxed geometry, as listed in Alexandria.

Output
- Calculated density: 7.78 g/cm3
- Fermi-level density of states: 5.88 states/eV/cell
- Space-group type: No. 216

a = 4.727 Å, b = 4.727 Å, c = 4.727 Å
α = 60.00°, β = 60.00°, γ = 60.00°
Fractional coordinates of all 4 atoms:
Ba 0.000 0.000 0.000
Li 0.750 0.750 0.750
Rh 0.250 0.250 0.250
Rh 0.500 0.500 0.500



Most stable = #one



#one
First-principles (GGA-PBEsol) data for crystalline BaLiRu2 at its relaxed geometry, as listed in Alexandria.

Output
- Calculated density: 6.51 g/cm3
- Fermi-level density of states: 2.64 states/eV/cell
- Space-group type: No. 160

a = 6.301 Å, b = 6.301 Å, c = 6.301 Å
α = 38.80°, β = 38.80°, γ = 38.80°
Fractional coordinates of all 4 atoms:
Ba 0.000 0.000 0.000
Li 0.201 0.201 0.201
Ru 0.480 0.480 0.480
Ru 0.801 0.801 0.801



#two
First-principles (GGA-PBEsol) data for crystalline BaLiRu2 at its relaxed geometry, as listed in Alexandria.

Output
- Calculated density: 6.84 g/cm3
- Fermi-level density of states: 3.14 states/eV/cell
- Space-group type: No. 10

a = 4.122 Å, b = 4.562 Å, c = 4.620 Å
α = 90.00°, β = 104.65°, γ = 90.00°
Fractional coordinates of all 4 atoms:
Ba 0.000 0.000 0.000
Li 0.500 0.000 0.500
Ru 0.289 0.500 0.623
Ru 0.711 0.500 0.377



#three
First-principles (GGA-PBEsol) data for crystalline BaLiRu2 at its relaxed geometry, as listed in Alexandria.

Output
- Calculated density: 7.00 g/cm3
- Fermi-level density of states: 3.54 states/eV/cell
- Space-group type: No. 6

a = 2.943 Å, b = 3.603 Å, c = 7.750 Å
α = 90.00°, β = 90.14°, γ = 90.00°
Fractional coordinates of all 4 atoms:
Ba 0.000 0.000 0.000
Li 0.496 0.500 0.362
Ru 0.498 0.500 0.691
Ru 0.997 0.000 0.568



Most stable = #one



#one
First-principles (GGA-PBEsol) data for crystalline Ba2LiRu at its relaxed geometry, as listed in Alexandria.

Output
- Calculated density: 5.26 g/cm3
- Fermi-level density of states: 3.46 states/eV/cell
- Space-group type: No. 44

a = 6.920 Å, b = 6.920 Å, c = 6.920 Å
α = 149.73°, β = 133.25°, γ = 56.71°
Fractional coordinates of all 4 atoms:
Ba 0.000 0.000 0.000
Ba 0.696 0.196 0.500
Li 0.351 0.351 0.000
Ru 0.189 0.689 0.500



#two
First-principles (GGA-PBEsol) data for crystalline Ba2LiRu at its relaxed geometry, as listed in Alexandria.

Output
- Calculated density: 6.02 g/cm3
- Fermi-level density of states: 2.46 states/eV/cell
- Space-group type: No. 119

a = 5.682 Å, b = 5.682 Å, c = 5.682 Å
α = 129.82°, β = 129.82°, γ = 73.70°
Fractional coordinates of all 4 atoms:
Ba 0.000 0.000 0.000
Ba 0.750 0.250 0.500
Li 0.500 0.500 0.000
Ru 0.250 0.750 0.500



Most stable = #one



#one
First-principles (GGA-PBEsol) data for crystalline Ba2LiRu at its relaxed geometry, as listed in Alexandria.

Output
- Calculated density: 4.53 g/cm3
- Fermi-level density of states: 4.17 states/eV/cell
- Space-group type: No. 166

a = 10.489 Å, b = 10.489 Å, c = 10.489 Å
α = 21.86°, β = 21.86°, γ = 21.86°
Fractional coordinates of all 4 atoms:
Ba 0.230 0.230 0.230
Ba 0.770 0.770 0.770
Li 0.000 0.000 0.000
Ru 0.500 0.500 0.500



#two
First-principles (GGA-PBEsol) data for crystalline Ba2LiRu at its relaxed geometry, as listed in Alexandria.

Output
- Calculated density: 5.65 g/cm3
- Fermi-level density of states: 5.87 states/eV/cell
- Space-group type: No. 123

a = 5.401 Å, b = 5.401 Å, c = 3.858 Å
α = 90.00°, β = 90.00°, γ = 90.00°
Fractional coordinates of all 4 atoms:
Ba 0.000 0.500 0.000
Ba 0.500 0.000 0.000
Li 0.000 0.000 0.500
Ru 0.500 0.500 0.500



Most stable = #two